1.
DFT (GGA-PBE) results for ZrScNO after structural relaxation.

## Properties
crystal system = orthorhombic
relative energy among the computed polymorphs = 31 meV per atom
space group = Pmma
mass density = 5.1 g cm⁻³

Geometry as CIF:
```
data_ZrScNO
_space_group_name_H-M_alt 'P 1'
_space_group_IT_number 1
_space_group_name_Hall 'P 1'
_cell_length_a 3.642
_cell_length_b 6.562
_cell_length_c 4.538
_cell_angle_alpha 90.00
_cell_angle_beta 90.00
_cell_angle_gamma 90.00
loop_
_atom_site_label
_atom_site_fract_x
_atom_site_fract_y
_atom_site_fract_z
N1 0.000 0.841 0.439
Sc1 0.000 0.837 0.938
O1 0.500 0.689 0.939
N2 0.000 0.159 0.939
Zr1 0.500 0.347 0.939
Sc2 0.000 0.163 0.438
O2 0.500 0.311 0.439
Zr2 0.500 0.653 0.439
```

2.
DFT (GGA-PBE) results for Gd2YHg5 after structural relaxation.

## Properties
crystal system = orthorhombic
space group = Amm2
energy of formation = -441 meV/atom
mass density = 11.7 g cm⁻³

Geometry as CIF:
```
data_Gd2YHg5
_space_group_name_H-M_alt 'P 1'
_space_group_IT_number 1
_space_group_name_Hall 'P 1'
_cell_length_a 5.136
_cell_length_b 6.418
_cell_length_c 6.418
_cell_angle_alpha 71.14
_cell_angle_beta 90.00
_cell_angle_gamma 90.00
loop_
_atom_site_label
_atom_site_fract_x
_atom_site_fract_y
_atom_site_fract_z
Hg1 0.500 0.871 0.871
Gd1 0.000 0.666 0.666
Hg2 0.500 0.367 0.858
Gd2 0.500 0.364 0.364
Hg3 0.500 0.858 0.367
Y1 0.000 0.101 0.101
Hg4 0.000 0.606 0.167
Hg5 0.000 0.167 0.606
```

| no. | V (Å³/cell) |
| --- | --- |
| 1 | 108.5 |
| 2 | 200.2 |